[1]
KGa2Sn2: optimized geometry, PBE.

The structure in POSCAR format:
```
KGa2Sn2
1.0
-2.504 2.504 5.642
2.504 -2.504 5.642
2.504 2.504 -5.642
K Ga Sn
1 2 2
Direct
0.000 0.000 0.000
0.250 0.750 0.500
0.750 0.250 0.500
0.370 0.370 0.000
0.630 0.630 0.000
```

Values from the calculation:
Space-group type   I4/mmm (139)
Excess energy over the best structure of this formula in the dataset   0.0000 eV per atom
Energy of formation   -16 kJ/mol of atoms



[2]
Ni2BiSbP: optimized geometry, PBE.

The structure in POSCAR format:
```
Ni2BiSbP
1.0
4.676 0.000 0.000
0.000 4.676 0.000
0.000 0.000 5.236
Ni Bi Sb P
2 1 1 1
Direct
0.000 0.500 0.000
0.500 0.000 0.000
0.000 0.000 0.500
0.500 0.500 0.000
0.500 0.500 0.500
```

Values from the calculation:
Space-group type   P4/mmm (123)
Energy relative to the elements, uncorrected   0.805 eV/atom



[3]
PaCu4Ge2: optimized geometry, PBE.

The structure in POSCAR format:
```
PaCu4Ge2
1.0
7.375 0.000 0.000
0.000 7.375 0.000
0.000 0.000 4.020
Pa Cu Ge
2 8 4
Direct
0.000 0.000 0.000
0.500 0.500 0.500
0.091 0.346 0.500
0.154 0.591 0.000
0.346 0.091 0.500
0.409 0.846 0.000
0.591 0.154 0.000
0.654 0.909 0.500
0.846 0.409 0.000
0.909 0.654 0.500
0.213 0.787 0.500
0.287 0.287 0.000
0.713 0.713 0.000
0.787 0.213 0.500
```

Values from the calculation:
Space-group type   P4_2/mnm (136)
Energy of formation   -19 kJ/mol of atoms



[4]
Tb6PrY8: optimized geometry, PBE.

The structure in POSCAR format:
```
Tb6PrY8
1.0
4.542 2.623 6.919
-4.542 2.623 6.919
0.000 -5.245 6.919
Tb Pr Y
6 1 8
Direct
0.038 0.608 0.731
0.269 0.962 0.392
0.392 0.269 0.962
0.608 0.731 0.038
0.731 0.038 0.608
0.962 0.392 0.269
0.500 0.500 0.500
0.077 0.077 0.077
0.219 0.611 0.245
0.245 0.219 0.611
0.389 0.755 0.781
0.611 0.245 0.219
0.755 0.781 0.389
0.781 0.389 0.755
0.923 0.923 0.923
```

Values from the calculation:
Space-group type   R-3 (148)
Energy of formation   13 kJ/mol of atoms



[5]
CaLaAg2Rh: optimized geometry, PBE.

The structure in POSCAR format:
```
CaLaAg2Rh
1.0
5.685 0.000 0.000
0.000 5.685 0.000
0.000 0.000 4.892
Ca La Ag Rh
1 1 2 1
Direct
0.000 0.000 0.000
0.500 0.500 0.500
0.000 0.500 0.500
0.500 0.000 0.500
0.500 0.500 0.000
```

Values from the calculation:
Space-group type   P4/mmm (123)
Energy of formation   34 kJ/mol of atoms



[6]
CeMnGa: optimized geometry, PBE.

The structure in POSCAR format:
```
CeMnGa
1.0
-1.549 1.549 5.864
1.549 -1.549 5.864
1.549 1.549 -5.864
Ce Mn Ga
1 1 1
Direct
0.000 0.000 0.000
0.321 0.321 0.000
0.701 0.701 0.000
```

Values from the calculation:
Space-group type   I4mm (107)
Energy of formation   -12 kJ/mol of atoms



[7]
ZrIn2Ru2: optimized geometry, PBE.

The structure in POSCAR format:
```
ZrIn2Ru2
1.0
-1.948 1.948 6.523
1.948 -1.948 6.523
1.948 1.948 -6.523
Zr In Ru
1 2 2
Direct
0.000 0.000 0.000
0.250 0.750 0.500
0.750 0.250 0.500
0.405 0.405 0.000
0.595 0.595 0.000
```

Values from the calculation:
Space-group type   I4/mmm (139)
Excess energy over the best structure of this formula in the dataset   0.2923 eV per atom
Energy of formation   19 kJ/mol of atoms



[8]
TcTe2F: optimized geometry, PBE.

The structure in POSCAR format:
```
TcTe2F
1.0
0.000 3.290 3.290
3.290 0.000 3.290
3.290 3.290 0.000
Tc Te F
1 2 1
Direct
0.000 0.000 0.000
0.250 0.250 0.250
0.750 0.750 0.750
0.500 0.500 0.500
```

Values from the calculation:
Space-group type   Fm-3m (225)
Excess energy over the best structure of this formula in the dataset   0.0841 eV per atom
Energy relative to the elements, uncorrected   -0.346 eV/atom



[9]
Sm5In2Pb2: optimized geometry, PBE.

The structure in POSCAR format:
```
Sm5In2Pb2
1.0
8.073 -4.197 0.000
8.073 4.197 0.000
0.000 0.000 8.286
Sm In Pb
10 4 4
Direct
0.000 0.000 0.000
0.039 0.684 0.672
0.184 0.539 0.172
0.316 0.961 0.672
0.461 0.816 0.172
0.500 0.500 0.500
0.539 0.184 0.828
0.684 0.039 0.328
0.816 0.461 0.828
0.961 0.316 0.328
0.124 0.876 0.376
0.376 0.624 0.876
0.624 0.376 0.124
0.876 0.124 0.624
0.208 0.208 0.000
0.292 0.292 0.500
0.708 0.708 0.500
0.792 0.792 0.000
```

Values from the calculation:
Space-group type   Cmce (64)
Energy of formation   -47 kJ/mol of atoms



[10]
InSnAu: optimized geometry, PBE.

The structure in POSCAR format:
```
InSnAu
1.0
6.403 0.000 0.000
0.000 3.573 0.000
0.000 0.000 13.047
In Sn Au
4 4 4
Direct
0.236 0.250 0.040
0.264 0.750 0.540
0.736 0.250 0.460
0.764 0.750 0.960
0.115 0.250 0.319
0.385 0.750 0.819
0.615 0.250 0.181
0.885 0.750 0.681
0.030 0.250 0.843
0.470 0.750 0.343
0.530 0.250 0.657
0.970 0.750 0.157
```

Values from the calculation:
Space-group type   Pnma (62)
Energy of formation   -9 kJ/mol of atoms



[11]
IrRhAu: optimized geometry, PBE.

The structure in POSCAR format:
```
IrRhAu
1.0
0.000 3.034 3.034
3.034 0.000 3.034
3.034 3.034 0.000
Ir Rh Au
1 1 1
Direct
0.000 0.000 0.000
0.750 0.750 0.750
0.250 0.250 0.250
```

Values from the calculation:
Space-group type   F-43m (216)
Excess energy over the best structure of this formula in the dataset   0.5318 eV per atom
Energy of formation   67 kJ/mol of atoms



[12]
TaPd2Pt3: optimized geometry, PBE.

The structure in POSCAR format:
```
TaPd2Pt3
1.0
4.542 0.000 0.000
0.000 8.437 0.000
0.000 0.000 4.984
Ta Pd Pt
2 4 6
Direct
0.000 0.107 0.000
0.000 0.893 0.500
0.000 0.236 0.499
0.000 0.764 0.999
0.500 0.415 0.671
0.500 0.585 0.171
0.000 0.417 0.995
0.000 0.583 0.495
0.500 0.078 0.667
0.500 0.254 0.169
0.500 0.746 0.669
0.500 0.922 0.167
```

Values from the calculation:
Space-group type   Pmc2_1 (26)
Excess energy over the best structure of this formula in the dataset   0.0000 eV per atom
Energy of formation   -35 kJ/mol of atoms



[13]
Np2ScCr2C4: optimized geometry, PBE.

The structure in POSCAR format:
```
Np2ScCr2C4
1.0
6.349 -1.584 0.000
6.349 1.584 0.000
-1.709 0.000 5.590
Np Sc Cr C
2 1 2 4
Direct
0.125 0.125 0.033
0.875 0.875 0.967
0.000 0.000 0.500
0.319 0.319 0.493
0.681 0.681 0.507
0.226 0.226 0.726
0.459 0.459 0.746
0.541 0.541 0.254
0.774 0.774 0.274
```

Values from the calculation:
Space-group type   C2/m (12)
Energy of formation   -3 kJ/mol of atoms